Record 1
{"formula": "Th3Al", "functional": "GGA-PBE", "state": "relaxed", "formation_enthalpy_0k_mev_per_atom": -67, "space_group": "Imm2", "magmom_total_mub_per_fu": 0.0, "cell": [[3.516, 0.000, 0.000], [0.000, 5.921, 0.000], [-1.758, -2.961, 5.569]], "species": ["Th", "Th", "Al", "Th"], "fractional_positions": [[0.730, 0.065, 0.459], [0.270, 0.606, 0.541], [0.000, 0.016, 0.000], [0.500, 0.480, 0.000]]}

Record 2
{"formula": "ThAl2", "functional": "GGA-PBE", "state": "relaxed", "formation_enthalpy_0k_mev_per_atom": -414, "space_group": "Fd-3m", "magmom_total_mub_per_fu": 0.0, "cell": [[5.696, 0.000, 0.000], [2.848, 4.933, 0.000], [2.848, 1.644, 4.651]], "species": ["Al", "Al", "Al", "Th", "Al", "Th"], "fractional_positions": [[0.625, 0.625, 0.125], [0.625, 0.125, 0.625], [0.625, 0.625, 0.625], [0.250, 0.250, 0.250], [0.125, 0.625, 0.625], [0.000, 0.000, 0.000]]}

Record 3
{"formula": "Th3Al4", "functional": "GGA-PBE", "state": "relaxed", "formation_enthalpy_0k_mev_per_atom": -365, "e_above_lowest_polymorph_ev_per_atom": 0.000, "space_group": "Immm", "magmom_total_mub_per_fu": 0.0, "cell": [[-0.210, 0.922, 4.168], [0.631, -4.163, 0.953], [9.324, 3.100, -2.407]], "species": ["Al", "Al", "Th", "Th", "Th", "Al", "Al"], "fractional_positions": [[0.641, 0.641, 0.281], [0.359, 0.359, 0.719], [0.190, 0.190, 0.380], [0.500, 0.000, 0.000], [0.810, 0.810, 0.620], [0.934, 0.434, 0.869], [0.066, 0.566, 0.131]]}

Record 4
{"formula": "Th3Al4", "functional": "GGA-PBE", "state": "relaxed", "formation_enthalpy_0k_mev_per_atom": -349, "e_above_lowest_polymorph_ev_per_atom": 0.017, "space_group": "Cmcm", "magmom_total_mub_per_fu": 0.0, "cell": [[4.290, 0.000, 0.000], [-2.145, 5.642, 0.000], [0.000, 0.000, 14.400]], "species": ["Th", "Al", "Th", "Th", "Al", "Al", "Al", "Th", "Al", "Al", "Al", "Al", "Th", "Th"], "fractional_positions": [[0.710, 0.421, 0.400], [0.001, 0.002, 0.500], [0.994, 0.988, 0.750], [0.292, 0.584, 0.900], [0.290, 0.580, 0.250], [0.579, 0.157, 0.599], [0.423, 0.848, 0.099], [0.710, 0.421, 0.100], [0.001, 0.002, 0.000], [0.712, 0.425, 0.750], [0.423, 0.848, 0.402], [0.579, 0.157, 0.902], [0.292, 0.584, 0.600], [0.008, 0.016, 0.250]]}

Record 5
{"formula": "ThAl11", "functional": "GGA-PBE", "state": "relaxed", "formation_enthalpy_0k_mev_per_atom": -82, "space_group": "I4_1/amd", "magmom_total_mub_per_fu": 0.0, "cell": [[6.528, 0.000, 2.977], [3.264, 7.771, 1.489], [0.040, 0.000, 8.560]], "species": ["Al", "Al", "Al", "Al", "Al", "Al", "Al", "Al", "Al", "Al", "Al", "Al", "Al", "Al", "Al", "Al", "Al", "Al", "Al", "Th", "Th", "Al", "Al", "Al"], "fractional_positions": [[0.674, 0.584, 0.173], [0.597, 0.327, 0.084], [0.875, 0.250, 0.250], [0.076, 0.327, 0.916], [0.009, 0.916, 0.673], [0.431, 0.416, 0.827], [0.741, 0.584, 0.827], [0.875, 0.750, 0.250], [0.009, 0.673, 0.916], [0.674, 0.173, 0.584], [0.875, 0.250, 0.750], [0.750, 0.500, 0.500], [0.153, 0.173, 0.416], [0.597, 0.084, 0.327], [0.319, 0.673, 0.084], [0.153, 0.416, 0.173], [0.741, 0.827, 0.584], [0.076, 0.916, 0.327], [0.431, 0.827, 0.416], [0.250, 0.500, 0.500], [0.500, 0.000, 0.000], [0.319, 0.084, 0.673], [0.375, 0.750, 0.750], [0.000, 0.000, 0.000]]}

Record 6
{"formula": "ThAl2", "functional": "GGA-PBE", "state": "relaxed", "formation_enthalpy_0k_mev_per_atom": -451, "space_group": "P6/mmm", "magmom_total_mub_per_fu": 0.0, "cell": [[-2.888, -1.658, -2.896], [3.241, -2.541, 1.586], [-2.469, -1.188, 3.142]], "species": ["Th", "Al", "Al"], "fractional_positions": [[0.000, 0.000, 0.000], [0.667, 0.333, 0.500], [0.333, 0.667, 0.500]]}

Record 7
{"formula": "Th3Al", "functional": "GGA-PBE", "state": "relaxed", "formation_enthalpy_0k_mev_per_atom": 177, "space_group": "Pmm2", "magmom_total_mub_per_fu": 0.0, "cell": [[3.431, 0.000, 0.000], [0.000, 3.404, 0.000], [0.000, 0.000, 10.393]], "species": ["Al", "Th", "Th", "Th"], "fractional_positions": [[0.000, 0.000, 0.975], [0.000, 0.500, 0.464], [0.500, 0.500, 0.176], [0.500, 0.000, 0.718]]}

Record 8
{"formula": "Th3Al2", "functional": "GGA-PBE", "state": "relaxed", "formation_enthalpy_0k_mev_per_atom": -226, "space_group": "P4/mbm", "magmom_total_mub_per_fu": 0.0, "cell": [[8.091, 0.000, 0.000], [0.000, 8.091, 0.000], [0.000, 0.000, 4.258]], "species": ["Th", "Al", "Th", "Th", "Th", "Al", "Al", "Th", "Al", "Th"], "fractional_positions": [[0.677, 0.823, 0.500], [0.617, 0.117, 0.000], [0.500, 0.500, 0.000], [0.823, 0.323, 0.500], [0.000, 0.000, 0.000], [0.883, 0.617, 0.000], [0.117, 0.383, 0.000], [0.177, 0.677, 0.500], [0.383, 0.883, 0.000], [0.323, 0.177, 0.500]]}

Record 9
{"formula": "Th2Al3", "functional": "GGA-PBE", "state": "relaxed", "formation_enthalpy_0k_mev_per_atom": -367, "space_group": "Immm", "magmom_total_mub_per_fu": 0.0, "cell": [[-2.682, 3.298, -0.626], [-0.036, -1.128, -5.790], [-2.359, -3.996, 3.798]], "species": ["Th", "Al", "Th", "Al", "Al"], "fractional_positions": [[0.790, 0.290, 0.580], [0.000, 0.000, 0.000], [0.210, 0.710, 0.420], [0.500, 0.724, 0.000], [0.500, 0.276, 0.000]]}

Record 10
{"formula": "Th2Al3", "functional": "GGA-PBE", "state": "relaxed", "formation_enthalpy_0k_mev_per_atom": -366, "space_group": "Cmce", "magmom_total_mub_per_fu": 0.0, "cell": [[6.026, 0.284, 0.000], [3.027, 5.218, 0.000], [0.000, 0.000, 7.913]], "species": ["Al", "Th", "Al", "Al", "Al", "Th", "Al", "Th", "Al", "Th"], "fractional_positions": [[0.343, 0.843, 0.250], [0.663, 0.663, 0.898], [0.500, 0.500, 0.500], [0.157, 0.657, 0.750], [0.000, 0.000, 0.000], [0.163, 0.163, 0.602], [0.657, 0.157, 0.750], [0.337, 0.337, 0.102], [0.843, 0.343, 0.250], [0.837, 0.837, 0.398]]}

Record 11
{"formula": "ThTi2Al", "functional": "GGA-PBE", "state": "relaxed", "formation_enthalpy_0k_mev_per_atom": -36, "e_above_lowest_polymorph_ev_per_atom": 0.036, "space_group": "Fm-3m", "magmom_total_mub_per_fu": 0.0, "cell": [[-1.884, -2.173, 3.872], [-1.634, -4.526, -0.331], [2.394, -3.592, 2.152]], "species": ["Th", "Al", "Ti", "Ti"], "fractional_positions": [[0.000, 0.000, 0.000], [0.500, 0.500, 0.500], [0.750, 0.750, 0.750], [0.250, 0.250, 0.250]]}

Record 12
{"formula": "Th2TiAl", "functional": "GGA-PBE", "state": "relaxed", "formation_enthalpy_0k_mev_per_atom": -47, "e_above_lowest_polymorph_ev_per_atom": 0.000, "space_group": "P4/mmm", "magmom_total_mub_per_fu": 0.0, "cell": [[4.466, 0.000, 0.000], [0.000, 4.709, 0.000], [0.000, 0.000, 4.709]], "species": ["Th", "Th", "Al", "Ti"], "fractional_positions": [[0.000, 0.000, 0.500], [0.000, 0.500, 0.000], [0.500, 0.000, 0.000], [0.500, 0.500, 0.500]]}